[1]
AgRuF3 | the Alexandria database | SCAN | single point on PBEsol structure; density of states at the Fermi level = 2.76 states/eV per cell; formation energy (no corrections) = -5.543 eV/f.u.; spin magnetization = 0.013 μB/atom
1.0
-3.392 0.462 2.222
1.960 -1.418 3.287
1.144 3.799 0.956
Ru Ag F
1 1 3
Direct
0.000 0.000 0.000
0.500 0.500 0.500
0.000 0.500 0.000
0.000 0.000 0.500
0.500 0.000 0.000

---

[2]
Ba2ReMo | the Alexandria database | SCAN | single point on PBEsol structure; E_form = 165.5 kJ/mol of atoms; density of states at the Fermi level = 3.84 states/eV per cell; polymorph energy (0 for the lowest one) = 0.032 eV per atom; spin magnetization = 0.000 μB/atom
1.0
-1.037 -2.157 1.696
0.678 -1.952 -2.082
10.110 -1.306 4.518
Ba Mo Re
2 1 1
Direct
0.000 0.000 0.246
0.000 0.000 0.754
0.500 0.500 0.500
0.500 0.500 0.000